Compound: PmHf2Sc6
Source: the Alexandria database
Functional: GGA-PBE
Structure: optimized geometry

The structure in POSCAR format:
```
PmHf2Sc6
1.0
3.2958 0.0000 0.0000
-1.6479 2.8542 0.0000
0.0000 0.0000 23.9832
Pm Hf Sc
1 2 6
direct
0.0000 0.0000 0.0000 Pm
0.6667 0.3333 0.3339 Hf
0.6667 0.3333 0.6661 Hf
0.0000 0.0000 0.2293 Sc
0.0000 0.0000 0.4363 Sc
0.0000 0.0000 0.5637 Sc
0.0000 0.0000 0.7707 Sc
0.6667 0.3333 0.1203 Sc
0.6667 0.3333 0.8797 Sc
```

Values from the calculation:
Calculated formation energy, meV/atom: 67
Symmetry: No. 187
Total magnetic moment, μB per formula unit: 1.830